## SrLi4Mo3O12 (GGA+U)

Data for an optimized crystal structure of SrLi4Mo3O12.

a = 6.558 Å, b = 6.558 Å, c = 6.558 Å
α = 109.47°, β = 109.47°, γ = 109.47°
Positions (direct):
O 0.324 0.174 0.499
O 0.150 0.324 0.826
O 0.826 0.150 0.324
O 0.676 0.174 0.850
O 0.501 0.676 0.826
O 0.676 0.826 0.501
O 0.850 0.676 0.174
O 0.174 0.850 0.676
O 0.826 0.501 0.676
O 0.174 0.499 0.324
O 0.499 0.324 0.174
O 0.324 0.826 0.150
Li 0.500 0.000 0.000
Li 0.500 0.500 0.500
Li 0.000 0.500 0.000
Li 0.000 0.000 0.500
Mo 0.500 0.500 0.000
Mo 0.000 0.500 0.500
Mo 0.500 0.000 0.500
Sr 0.000 0.000 0.000

## Properties
- VASP energy: -6.0395 eV/atom
- Symmetry: No. 204
- Crystal system: cubic